# 1
A plane-wave DFT calculation with PBE+U was carried out for ErAgMoO5 after structural relaxation.

Cell lengths 6.2436, 6.2436, 8.3791 Å; angles 109.00, 109.00, 93.49 degrees
With the nearest neighbours (Å) after each atom.
Atoms (fractional coordinates):
Er 0.0000 0.0000 0.5000  6 O 2.17-2.32
Er 0.0000 0.0000 0.0000  6 O 2.17-2.32
Ag 0.2969 0.7031 0.2500  1 O 2.14
Ag 0.7031 0.2969 0.7500  1 O 2.14
Mo 0.6397 0.3603 0.2500  4 O 1.79-1.81
Mo 0.3603 0.6397 0.7500  4 O 1.79-1.81
O 0.0621 0.9379 0.2500  1 Ag 2.14, 2 Er 2.17
O 0.9379 0.0621 0.7500  1 Ag 2.14, 2 Er 2.17
O 0.7684 0.2570 0.0839  1 Mo 1.79
O 0.2316 0.7430 0.9161  1 Mo 1.79
O 0.7430 0.2316 0.4161  1 Mo 1.79
O 0.2570 0.7684 0.5839  1 Mo 1.79
O 0.7188 0.6709 0.3569  1 Mo 1.81
O 0.2812 0.3291 0.6431  1 Mo 1.81
O 0.3291 0.2812 0.1431  1 Mo 1.81
O 0.6709 0.7188 0.8569  1 Mo 1.81

## Properties
* E_tot: -6.826 eV per atom
* symmetry: C2/c

# 2
A plane-wave DFT calculation with PBE+U was carried out for Er3Ag3MoO8 after structural relaxation.

Cell lengths 6.7178, 6.8009, 6.6138 Å; angles 115.69, 90.00, 119.60 degrees
With the nearest neighbours (Å) after each atom.
Atoms (fractional coordinates):
Er 0.5000 0.0000 0.5000  6 O 2.23-2.28
Er 0.5000 0.5000 0.5000  6 O 2.22-2.29
Er 0.0000 0.5000 0.5000  6 O 2.22-2.29
Ag 0.0000 0.0000 0.0000  4 O 2.51
Ag 0.0000 0.5000 0.0000  4 O 2.50-2.55
Ag 0.5000 0.5000 0.0000  4 O 2.50-2.55
Mo 0.0000 0.0000 0.5000  6 O 2.08-2.19
O 0.2822 0.5644 0.3142  3 Er 2.22-2.23
O 0.7178 0.4356 0.6858  3 Er 2.22-2.23
O 0.7869 0.5737 0.3065  1 Mo 2.19, 2 Er 2.28
O 0.2131 0.4263 0.6935  1 Mo 2.19, 2 Er 2.28
O 0.7969 0.0553 0.3197  1 Mo 2.08, 2 Er 2.28-2.29
O 0.2031 0.9447 0.6803  1 Mo 2.08, 2 Er 2.28-2.29
O 0.2583 0.0553 0.3197  1 Mo 2.08, 2 Er 2.28-2.29
O 0.7417 0.9447 0.6803  1 Mo 2.08, 2 Er 2.28-2.29

## Properties
* E_tot: -6.650 eV per atom
* symmetry: C2/m